Density functional theory data (PBE) for an optimized crystal structure of CaSc3Mn.

The structure belongs to space group Pm-3m (No. 221); the cell edges are 4.924, 4.924 and 4.924 Å and the angles 90.00°, 90.00° and 90.00°. The inequivalent atoms are Ca at (0.000, 0.000, 0.000), Sc at (0.000, 0.000, 0.500) and Mn at (0.500, 0.500, 0.500).

For the density of states at the Fermi level, the calculation gives 10.8 states/eV/cell. The energy above the most stable polymorph in this dataset is 38.617 kcal/mol of atoms. Its calculated formation energy is 870 kJ/mol of formula units.

Density functional theory data (PBE) for an optimized crystal structure of Na2MnI6.

The structure belongs to space group P2_1/c (No. 14); the cell edges are 7.554, 7.816 and 13.151 Å and the angles 90.00°, 123.77° and 90.00°. The inequivalent atoms are Na at (0.201, 0.099, 0.233), Mn at (0.500, 0.000, 0.000), I at (0.152, 0.189, 0.941), I at (0.275, 0.708, 0.953) and I at (0.379, 0.012, 0.763).

The calculation puts the uncorrected formation energy at -0.657 eV per atom.

Density functional theory data (PBE) for an optimized crystal structure of Mg3Cu2Se.

The structure belongs to space group Cmcm (No. 63); the cell edges are 4.267, 7.389 and 14.661 Å and the angles 90.00°, 90.00° and 90.00°. The inequivalent atoms are Mg at (0.000, 0.000, 0.000), Mg at (0.000, 0.333, 0.141), Cu at (0.000, 0.333, 0.540) and Se at (0.000, 0.334, 0.750).

For the density of states at the Fermi level, the calculation gives 9.9 states/eV/cell. The calculation puts the uncorrected formation energy at -0.266 eV per atom. The energy above the most stable polymorph in this dataset is 0.000 kcal/mol of atoms.

Density functional theory data (PBE) for an optimized crystal structure of KRb3Sn.

The structure belongs to space group C2/c (No. 15); the cell edges are 16.717, 14.377 and 11.022 Å and the angles 90.00°, 104.96° and 90.00°. The inequivalent atoms are K at (0.000, 0.061, 0.250), K at (0.000, 0.435, 0.750), Rb at (0.110, 0.291, 0.528), Rb at (0.178, 0.318, 0.115), Rb at (0.189, 0.007, 0.100) and Sn at (0.083, 0.173, 0.829).

For the density of states at the Fermi level, the calculation gives 37.0 states/eV/cell. The energy above the most stable polymorph in this dataset is 0.000 kcal/mol of atoms. Its calculated formation energy is -15 kJ/mol of formula units.